Here is LiSb2Ru after structural relaxation from the Alexandria database. Energies are from GGA-PBE.

Results
Its space-group type is P4/mmm (123). The calculation puts the total magnetization at 0.0 μB per cell. The crystal system is tetragonal. As for the volume: 18.5 A^3/atom. The electronic total energy is -4.86 eV per atom. The calculation puts the relative energy among the computed polymorphs at 189.4 meV per atom. The uncorrected formation energy is 0.00 eV/atom.

Cell lengths 4.6786, 4.6786, 3.3768 Å; angles 90.00, 90.00, 90.00 degrees
Last column: nearest neighbours and their distance in Å.
Sites, in units of the cell vectors:
Li: 0.0000 0.0000 0.0000  8 Sb 2.88
Sb: 0.0000 0.5000 0.5000  4 Li 2.88, 4 Ru 2.88
Sb: 0.5000 0.0000 0.5000  4 Li 2.88, 4 Ru 2.88
Ru: 0.5000 0.5000 0.0000  8 Sb 2.88